i) Computed, not measured: an optimized crystal structure of RbAg2Ru at the GGA-PBE level of DFT.

Summary:
Its crystal system is tetragonal. The space group is I4_1/amd, No. 141. The density of states at the Fermi level comes out at 12.13 states/eV per cell.

Lattice parameters (Å, degrees): 5.4693 5.4693 9.9159 73.99 73.99 90.00
Last column: magnetic moment on the atom in μB.
Element x y z (fractional)
Ru 0.7500 0.2500 0.5000  2.00
Ru 0.0000 0.0000 0.0000  2.00
Ag 0.3750 0.1257 0.7500  0.06
Ag 0.8750 0.1243 0.7500  0.07
Ag 0.8757 0.6250 0.2500  0.09
Ag 0.8743 0.1250 0.2500  0.08
Rb 0.2500 0.7500 0.5000  0.00
Rb 0.5000 0.5000 0.0000  0.00

---

ii) Computed, not measured: an optimized crystal structure of RbAg2Ru at the GGA-PBE level of DFT.

Summary:
Its crystal system is cubic. The space group is Fm-3m, No. 225. The density of states at the Fermi level comes out at 4.29 states/eV per cell.

Lattice parameters (Å, degrees): 5.0970 5.0970 5.0970 60.00 60.00 60.00
Last column: magnetic moment on the atom in μB.
Element x y z (fractional)
Ru 0.5000 0.5000 0.5000  1.86
Ag 0.7500 0.7500 0.7500  0.02
Ag 0.2500 0.2500 0.2500  0.02
Rb 0.0000 0.0000 0.0000  0.01

---

Stability summary: most stable i), least stable ii).

---

i) Computed, not measured: an optimized crystal structure of Rb2AgS2 at the GGA-PBE level of DFT.

Summary:
Its crystal system is tetragonal. The space group is I4/mmm, No. 139. The density of states at the Fermi level comes out at 4.98 states/eV per cell.

Lattice parameters (Å, degrees): 6.5485 6.5485 7.3615 63.59 63.59 90.00
Last column: magnetic moment on the atom in μB.
Element x y z (fractional)
S 0.2008 0.2008 0.5984  0.25
S 0.7992 0.7992 0.4016  0.25
Rb 0.7500 0.2500 0.5000  0.01
Rb 0.2500 0.7500 0.5000  0.01
Ag 0.0000 0.0000 0.0000  0.12

---

ii) Computed, not measured: an optimized crystal structure of Rb2AgS2 at the GGA-PBE level of DFT.

Summary:
Its crystal system is tetragonal. The space group is I4/mmm, No. 139. The density of states at the Fermi level comes out at 1.31 states/eV per cell.

Lattice parameters (Å, degrees): 3.8477 3.8477 10.6679 79.61 79.61 90.00
Element x y z (fractional)
S 0.7500 0.2500 0.5000
S 0.2500 0.7500 0.5000
Ag 0.0000 0.0000 0.0000
Rb 0.3787 0.3787 0.2425
Rb 0.6213 0.6213 0.7575

---

Stability summary: most stable i), least stable ii).

---

i) Computed, not measured: an optimized crystal structure of Rb2AgS2 at the GGA-PBE level of DFT.

Summary:
Its crystal system is monoclinic. The space group is C2/m, No. 12. The density of states at the Fermi level comes out at 6.11 states/eV per cell.

Lattice parameters (Å, degrees): 6.5406 7.9889 8.8257 75.59 68.25 65.84
Element x y z (fractional)
Rb 0.3126 0.8086 0.5662
Rb 0.0582 0.6615 0.2222
Rb 0.6874 0.1914 0.4338
Rb 0.9418 0.3385 0.7778
S 0.5223 0.7894 0.1660
S 0.8121 0.7654 0.6105
S 0.4777 0.2106 0.8340
S 0.1879 0.2346 0.3895
Ag 0.3703 0.1352 0.1243
Ag 0.6297 0.8648 0.8757

---

ii) Computed, not measured: an optimized crystal structure of Rb2AgS2 at the GGA-PBE level of DFT.

Summary:
Its crystal system is tetragonal. The space group is P4/mbm, No. 127. The density of states at the Fermi level comes out at 3.44 states/eV per cell.

Lattice parameters (Å, degrees): 7.3516 7.3516 5.1237 90.00 90.00 90.00
Element x y z (fractional)
Rb 0.6529 0.8471 0.5000
Rb 0.8471 0.3471 0.5000
Rb 0.1529 0.6529 0.5000
Rb 0.3471 0.1529 0.5000
Ag 0.0000 0.0000 0.0000
Ag 0.5000 0.5000 0.0000
S 0.6671 0.1671 0.0000
S 0.3329 0.8329 0.0000
S 0.1671 0.3329 0.0000
S 0.8329 0.6671 0.0000

---

Stability summary: most stable i), least stable ii).